Here is a relaxed structure of FeCo2N2 from the Alexandria database. Energies are from GGA-PBE.

It has space group I4/mmm (No. 139), with a = 2.790 Å, b = 2.790 Å, c = 11.624 Å, α = 90.00°, β = 90.00° and γ = 90.00°. The asymmetric unit holds Fe at (0.000, 0.000, 0.000), Co at (0.000, 0.000, 0.336) and N at (0.000, 0.000, 0.160).

Its formation energy without anion corrections is 0.255 eV per atom. Its polymorph energy (0 for the lowest one) is 62 meV/atom. For the total magnetization, the calculation gives 6.2 μB/cell. The energy is -76.100 eV for the cell shown.